First-principles (PBE-GGA) data for a relaxed structure of PaCrB2, as listed in the Alexandria database.

Cell lengths 3.2269, 3.2269, 16.9975 Å; angles 90.00, 90.00, 120.00 degrees
Space group R-3m (No. 166, hexagonal axes)
Symmetry-distinct sites (fractional):
Pa1 0.0000 0.0000 0.0000
Cr1 0.0000 0.0000 0.5000
B1 0.0000 0.0000 0.2268

Results
Total magnetization (Bohr magnetons per cell): 0.0
Energy (eV/cell): -97.20

***

First-principles (PBE-GGA) data for a relaxed structure of BeZn2Ni, as listed in the Alexandria database.

Cell lengths 3.5270, 3.5631, 7.4441 Å; angles 90.00, 90.00, 90.00 degrees
Space group Immm (No. 71)
Symmetry-distinct sites (fractional):
Be1 0.0000 0.0000 0.0000
Zn1 0.0000 0.5000 0.2503
Ni1 0.0000 0.0000 0.5000

Results
Total magnetization (Bohr magnetons per cell): 0.0
Energy (eV/cell): -24.95

***

First-principles (PBE-GGA) data for a relaxed structure of Nb2GeN, as listed in the Alexandria database.

Cell lengths 5.2089, 5.2089, 10.8288 Å; angles 90.00, 90.00, 90.00 degrees
Space group I-42d (No. 122)
Symmetry-distinct sites (fractional):
Nb1 0.1586 0.2500 0.1250
Ge1 0.0000 0.0000 0.5000
N1 0.0000 0.0000 0.0000

Results
E_form (uncorrected) (eV per atom): -0.09
Total magnetization (Bohr magnetons per cell): 0.0
Energy (eV/cell): -133.75

***

First-principles (PBE-GGA) data for a relaxed structure of TiZnAu3, as listed in the Alexandria database.

Cell lengths 12.3405, 4.8795, 5.7475 Å; angles 90.00, 96.06, 90.00 degrees
Space group C2/m (No. 12)
Symmetry-distinct sites (fractional):
Ti1 0.0992 0.0000 0.1507
Zn1 0.1937 0.5000 0.5309
Au1 0.0029 0.5000 0.2494
Au2 0.1049 0.0000 0.6386
Au3 0.2018 0.5000 0.0423

Results
Offset from the most stable computed form (meV/atom): 52.0
Total magnetization (Bohr magnetons per cell): 0.0
Energy (eV/cell): -80.25

***

First-principles (PBE-GGA) data for a relaxed structure of SrTcP2W, as listed in the Alexandria database.

Cell lengths 4.6781, 4.6781, 5.8222 Å; angles 90.00, 90.00, 90.00 degrees
Space group P4/mmm (No. 123)
Symmetry-distinct sites (fractional):
Sr1 0.0000 0.0000 0.0000
Tc1 0.5000 0.5000 0.0000
P1 0.0000 0.5000 0.5000
W1 0.0000 0.0000 0.5000

Results
Total magnetization (Bohr magnetons per cell): 3.3
Energy (eV/cell): -29.89

***

First-principles (PBE-GGA) data for a relaxed structure of Na2VPb, as listed in the Alexandria database.

Cell lengths 8.6438, 8.6438, 5.7250 Å; angles 90.00, 90.00, 90.00 degrees
Space group I-42d (No. 122)
Symmetry-distinct sites (fractional):
Na1 0.2453 0.2500 0.1250
V1 0.0000 0.0000 0.0000
Pb1 0.0000 0.0000 0.5000

Results
Total magnetization (Bohr magnetons per cell): 13.3
Energy (eV/cell): -52.39